! Tl2RuPt, relaxed, DFT GGA-PBE; values from VASP
! - Uncorrected energy: -18.3 eV per cell
! - D(E_F): 3.8 states/eV per cell
! - Formation energy: 433 meV/atom
! - Spin magnetization: 0.02 μB per formula unit
&SYSTEM
  ibrav = 0, nat = 4, ntyp = 3
/
ATOMIC_SPECIES
Tl 204.38 Tl.upf
Ru 101.07 Ru.upf
Pt 195.08 Pt.upf
ATOMIC_POSITIONS crystal
Tl 0.249 0.249 0.246
Tl 0.751 0.751 0.754
Ru 0.500 0.500 0.000
Pt 0.000 0.000 0.500
CELL_PARAMETERS angstrom
4.393 -1.678 0.000
4.393 1.678 0.000
-1.318 0.000 5.274

=====

! Tl2RuPt, relaxed, DFT GGA-PBE; values from VASP
! - Uncorrected energy: -18.7 eV per cell
! - D(E_F): 4.9 states/eV per cell
! - Formation energy: 349 meV/atom
! - Spin magnetization: 0.00 μB per formula unit
&SYSTEM
  ibrav = 0, nat = 4, ntyp = 3
/
ATOMIC_SPECIES
Tl 204.38 Tl.upf
Ru 101.07 Ru.upf
Pt 195.08 Pt.upf
ATOMIC_POSITIONS crystal
Tl 0.000 0.000 0.000
Tl 0.719 0.219 0.500
Ru 0.511 0.511 0.000
Pt 0.323 0.823 0.500
CELL_PARAMETERS angstrom
-1.523 2.272 5.986
1.523 -2.272 5.986
1.523 2.272 -5.986

=====

! Tl2RuPt, relaxed, DFT GGA-PBE; values from VASP
! - Uncorrected energy: -17.6 eV per cell
! - D(E_F): 4.7 states/eV per cell
! - Formation energy: 620 meV/atom
! - Spin magnetization: 0.78 μB per formula unit
&SYSTEM
  ibrav = 0, nat = 4, ntyp = 3
/
ATOMIC_SPECIES
Tl 204.38 Tl.upf
Ru 101.07 Ru.upf
Pt 195.08 Pt.upf
ATOMIC_POSITIONS crystal
Tl 0.000 0.000 0.000
Tl 0.250 0.250 0.250
Ru 0.750 0.750 0.750
Pt 0.500 0.500 0.500
CELL_PARAMETERS angstrom
0.000 3.393 3.393
3.393 0.000 3.393
3.393 3.393 0.000

=====

! Tl2RuPt, relaxed, DFT GGA-PBE; values from VASP
! - Uncorrected energy: -18.5 eV per cell
! - D(E_F): 2.9 states/eV per cell
! - Formation energy: 393 meV/atom
! - Spin magnetization: 0.00 μB per formula unit
&SYSTEM
  ibrav = 0, nat = 4, ntyp = 3
/
ATOMIC_SPECIES
Tl 204.38 Tl.upf
Ru 101.07 Ru.upf
Pt 195.08 Pt.upf
ATOMIC_POSITIONS crystal
Tl 0.250 0.250 0.250
Tl 0.750 0.750 0.750
Ru 0.000 0.000 0.000
Pt 0.500 0.500 0.500
CELL_PARAMETERS angstrom
0.000 3.349 3.349
3.349 0.000 3.349
3.349 3.349 0.000

=====

! Tl2RuPt, relaxed, DFT GGA-PBE; values from VASP
! - Uncorrected energy: -18.7 eV per cell
! - D(E_F): 2.1 states/eV per cell
! - Formation energy: 342 meV/atom
! - Spin magnetization: 0.00 μB per formula unit
&SYSTEM
  ibrav = 0, nat = 4, ntyp = 3
/
ATOMIC_SPECIES
Tl 204.38 Tl.upf
Ru 101.07 Ru.upf
Pt 195.08 Pt.upf
ATOMIC_POSITIONS crystal
Tl 0.000 0.000 0.000
Tl 0.293 0.500 0.590
Ru 0.723 0.000 0.450
Pt 0.573 0.500 0.146
CELL_PARAMETERS angstrom
3.700 0.000 0.000
0.000 4.291 0.000
-1.842 0.000 5.138

=====

! Tl2RuPt, relaxed, DFT GGA-PBE; values from VASP
! - Uncorrected energy: -18.4 eV per cell
! - D(E_F): 3.4 states/eV per cell
! - Formation energy: 415 meV/atom
! - Spin magnetization: 0.00 μB per formula unit
&SYSTEM
  ibrav = 0, nat = 4, ntyp = 3
/
ATOMIC_SPECIES
Tl 204.38 Tl.upf
Ru 101.07 Ru.upf
Pt 195.08 Pt.upf
ATOMIC_POSITIONS crystal
Tl 0.000 0.000 0.000
Tl 0.000 0.500 0.500
Ru 0.500 0.000 0.500
Pt 0.500 0.500 0.000
CELL_PARAMETERS angstrom
4.566 0.000 0.000
0.000 3.432 0.000
-1.865 0.000 4.976

=====

! Tl3RuPt, relaxed, DFT GGA-PBE; values from VASP
! - Uncorrected energy: -18.8 eV per cell
! - D(E_F): 5.0 states/eV per cell
! - Formation energy: 733 meV/atom
! - Spin magnetization: 0.00 μB per formula unit
&SYSTEM
  ibrav = 0, nat = 5, ntyp = 3
/
ATOMIC_SPECIES
Tl 204.38 Tl.upf
Ru 101.07 Ru.upf
Pt 195.08 Pt.upf
ATOMIC_POSITIONS crystal
Tl 0.000 0.000 0.500
Tl 0.000 0.500 0.000
Tl 0.500 0.000 0.000
Ru 0.000 0.000 0.000
Pt 0.500 0.500 0.500
CELL_PARAMETERS angstrom
5.182 0.000 0.000
0.000 5.182 0.000
0.000 0.000 5.182

=====

! Tl2RuPt, relaxed, DFT GGA-PBE; values from VASP
! - Uncorrected energy: -18.2 eV per cell
! - D(E_F): 3.5 states/eV per cell
! - Formation energy: 470 meV/atom
! - Spin magnetization: 1.21 μB per formula unit
&SYSTEM
  ibrav = 0, nat = 4, ntyp = 3
/
ATOMIC_SPECIES
Tl 204.38 Tl.upf
Ru 101.07 Ru.upf
Pt 195.08 Pt.upf
ATOMIC_POSITIONS crystal
Tl 0.000 0.000 0.000
Tl 0.750 0.250 0.500
Ru 0.500 0.500 0.000
Pt 0.250 0.750 0.500
CELL_PARAMETERS angstrom
-1.995 1.995 4.880
1.995 -1.995 4.880
1.995 1.995 -4.880